(1)
A geometry-optimized TbHo2Ir structure. Source: Alexandria via LeMat-Bulk, functional PBE.

Lattice parameters (Å, degrees): 3.884 12.070 9.086 90.00 90.00 90.00
Space group Cmcm (No. 63)
Unique sites:
Tb 0.000 0.073 0.250
Ho 0.000 0.358 0.067
Ir 0.000 0.252 0.750

Results
Excess energy over the best structure of this formula in the dataset   38 meV/atom


(2)
A geometry-optimized Pm5Y2Er2 structure. Source: Alexandria via LeMat-Bulk, functional PBE.

Lattice parameters (Å, degrees): 14.950 11.907 6.757 90.00 90.00 90.00
Space group Ima2 (No. 46)
Unique sites:
Pm 0.050 0.234 0.000
Pm 0.144 0.727 0.672
Pm 0.250 0.235 0.688
Y 0.128 0.510 0.330
Er 0.000 0.000 0.342
Er 0.250 0.000 0.374

Results
Excess energy over the best structure of this formula in the dataset   63 meV/atom


(3)
A geometry-optimized KYAs structure. Source: Alexandria via LeMat-Bulk, functional PBE.

Lattice parameters (Å, degrees): 4.3542 4.3542 7.5077 90.00 90.00 120.00
Space group P3m1 (No. 156)
Unique sites:
K 0.0000 0.0000 0.0000
Y 0.6667 0.3333 0.5398
As 0.3333 0.6667 0.6937

Results
Calculated total energy   -4.6443 eV/atom


(4)
A geometry-optimized NaTi2SiO6 structure. Source: Alexandria via LeMat-Bulk, functional PBE.

Lattice parameters (Å, degrees): 8.990 11.314 5.927 90.00 114.08 90.00
Space group C2/c (No. 15)
Unique sites:
Na 0.000 0.093 0.250
Ti 0.128 0.414 0.157
Si 0.000 0.187 0.750
O 0.081 0.266 0.005
O 0.126 0.451 0.469
O 0.134 0.100 0.708

Results
ΔE_f (raw)   -2754.8 meV/atom


(5)
A geometry-optimized Li3TiB structure. Source: Alexandria via LeMat-Bulk, functional PBE.

Lattice parameters (Å, degrees): 4.076 4.076 4.076 90.00 90.00 90.00
Space group Pm-3m (No. 221)
Unique sites:
Li 0.000 0.000 0.500
Ti 0.500 0.500 0.500
B 0.000 0.000 0.000

Results
Excess energy over the best structure of this formula in the dataset   0 meV/atom


(6)
A geometry-optimized RbMnPd3 structure. Source: Alexandria via LeMat-Bulk, functional PBE.

Lattice parameters (Å, degrees): 4.759 4.759 4.759 90.00 90.00 90.00
Space group Pm-3m (No. 221)
Unique sites:
Rb 0.000 0.000 0.000
Mn 0.500 0.500 0.500
Pd 0.000 0.500 0.500

Results
Excess energy over the best structure of this formula in the dataset   0 meV/atom